Entry 1:
First-principles (PBE) data for Dy3Ho after structural relaxation, as listed in Alexandria via LeMat-Bulk.

a b c (Å): 7.9679 7.9679 7.9679
angles (deg): 90.00 90.00 90.00
With the nearest neighbours (Å) after each atom.
Space group Fm-3m (No. 225)
Unique sites:
Dy 0.0000 0.0000 0.0000 x4  8 Dy 3.45
Dy 0.2500 0.2500 0.2500 x8  4 Dy 3.45, 4 Ho 3.45
Ho 0.0000 0.0000 0.5000 x4  8 Dy 3.45

The calculation puts the density of states at the Fermi level at 10.54 states/eV/f.u. For the volume, the calculation gives 31.616 Å³ per atom. The formation energy is 0.147 eV/atom. The energy above the most stable polymorph in this dataset comes out at 141 meV/atom. As for the magnetization: 0.01 μB per atom.


Entry 2:
First-principles (PBE) data for Cs2Na2Cd after structural relaxation, as listed in Alexandria via LeMat-Bulk.

a b c (Å): 8.9643 8.9643 6.7249
angles (deg): 90.00 90.00 90.00
With the nearest neighbours (Å) after each atom.
Space group P4/mbm (No. 127)
Unique sites:
Cs 0.1855 0.3145 0.0000 x4  2 Na 4.00
Na 0.1431 0.6431 0.5000 x4  2 Cd 3.45, 1 Na 3.63
Cd 0.0000 0.0000 0.5000 x2  4 Na 3.45

The calculation puts the density of states at the Fermi level at 3.49 states/eV/f.u. For the volume, the calculation gives 54.040 Å³ per atom. The formation energy is 0.053 eV/atom. The energy above the most stable polymorph in this dataset comes out at 31 meV/atom. As for the magnetization: 0.00 μB per atom.


Entry 3:
First-principles (PBE) data for HfFe2CuH after structural relaxation, as listed in Alexandria via LeMat-Bulk.

a b c (Å): 4.6559 4.6559 4.9830
angles (deg): 90.00 90.00 90.00
With the nearest neighbours (Å) after each atom.
Space group P4/mmm (No. 123)
Unique sites:
Hf 0.0000 0.0000 0.0000 x1  4 Fe 2.33, 2 Cu 2.49
Fe 0.0000 0.5000 0.0000 x2  2 Hf 2.33
Cu 0.0000 0.0000 0.5000 x1  2 Hf 2.49
H 0.5000 0.5000 0.5000 x1  4 Cu 3.29, 8 Fe 3.41

The calculation puts the density of states at the Fermi level at 6.01 states/eV/f.u. For the volume, the calculation gives 21.604 Å³ per atom. The energy above the most stable polymorph in this dataset comes out at 2063 meV/atom. As for the magnetization: 0.91 μB per atom.


Entry 4:
First-principles (PBE) data for LiAlOs after structural relaxation, as listed in Alexandria via LeMat-Bulk.

a b c (Å): 5.7801 5.7801 5.7801
angles (deg): 90.00 90.00 90.00
With the nearest neighbours (Å) after each atom.
Space group F-43m (No. 216)
Unique sites:
Li 0.0000 0.0000 0.0000 x4  4 Al 2.50
Al 0.2500 0.2500 0.7500 x4  4 Li 2.50, 4 Os 2.50
Os 0.0000 0.0000 0.5000 x4  4 Al 2.50

The calculation puts the density of states at the Fermi level at 1.70 states/eV/f.u. For the volume, the calculation gives 16.093 Å³ per atom. The formation energy is 0.442 eV/atom. The energy above the most stable polymorph in this dataset comes out at 609 meV/atom. As for the magnetization: 0.00 μB per atom.